[1]
DFT (PBE-GGA) results for Co2HgOs after structural relaxation.

Results
* symmetry: No. 166
* energy of formation from the pure elements: 42 kJ/mol of atoms

```
data_Co2HgOs
_cell_length_a 2.762
_cell_length_b 2.762
_cell_length_c 26.163
_cell_angle_alpha 90.00
_cell_angle_beta 90.00
_cell_angle_gamma 120.00
_space_group_name_H-M_alt 'P 1'
_space_group_IT_number 1
loop_
_space_group_symop_operation_xyz
'x,y,z'
loop_
_atom_site_label
_atom_site_type_symbol
_atom_site_fract_x
_atom_site_fract_y
_atom_site_fract_z
_atom_site_occupancy
Co1 Co 0.000 0.000 0.243 1
Co2 Co 0.000 0.000 0.757 1
Co3 Co 0.333 0.667 0.424 1
Co4 Co 0.333 0.667 0.910 1
Co5 Co 0.667 0.333 0.090 1
Co6 Co 0.667 0.333 0.576 1
Hg1 Hg 0.000 0.000 0.000 1
Hg2 Hg 0.333 0.667 0.667 1
Hg3 Hg 0.667 0.333 0.333 1
Os1 Os 0.000 0.000 0.500 1
Os2 Os 0.333 0.667 0.167 1
Os3 Os 0.667 0.333 0.833 1
```

---

[2]
DFT (PBE-GGA) results for GaBrF after structural relaxation.

Results
* symmetry: No. 15
* ΔE to the lowest computed polymorph: 53 kJ/mol of formula units
* ΔE_f (raw): -1.326 eV per atom

```
data_GaBrF
_cell_length_a 7.433
_cell_length_b 7.433
_cell_length_c 10.645
_cell_angle_alpha 117.40
_cell_angle_beta 117.40
_cell_angle_gamma 62.55
_space_group_name_H-M_alt 'P 1'
_space_group_IT_number 1
loop_
_space_group_symop_operation_xyz
'x,y,z'
loop_
_atom_site_label
_atom_site_type_symbol
_atom_site_fract_x
_atom_site_fract_y
_atom_site_fract_z
_atom_site_occupancy
Ga1 Ga 0.099 0.712 0.370 1
Ga2 Ga 0.211 0.789 0.750 1
Ga3 Ga 0.288 0.901 0.130 1
Ga4 Ga 0.712 0.099 0.870 1
Ga5 Ga 0.789 0.211 0.250 1
Ga6 Ga 0.901 0.288 0.630 1
Br1 Br 0.043 0.649 0.851 1
Br2 Br 0.351 0.957 0.649 1
Br3 Br 0.465 0.535 0.250 1
Br4 Br 0.535 0.465 0.750 1
Br5 Br 0.649 0.043 0.351 1
Br6 Br 0.957 0.351 0.149 1
F1 F 0.037 0.963 0.250 1
F2 F 0.077 0.664 0.546 1
F3 F 0.336 0.923 0.954 1
F4 F 0.664 0.077 0.046 1
F5 F 0.923 0.336 0.454 1
F6 F 0.963 0.037 0.750 1
```

---

[3]
DFT (PBE-GGA) results for BeTePt after structural relaxation.

Results
* symmetry: No. 187
* ΔE_f (raw): -0.056 eV per atom

```
data_BeTePt
_cell_length_a 3.957
_cell_length_b 3.957
_cell_length_c 3.906
_cell_angle_alpha 90.00
_cell_angle_beta 90.00
_cell_angle_gamma 120.00
_space_group_name_H-M_alt 'P 1'
_space_group_IT_number 1
loop_
_space_group_symop_operation_xyz
'x,y,z'
loop_
_atom_site_label
_atom_site_type_symbol
_atom_site_fract_x
_atom_site_fract_y
_atom_site_fract_z
_atom_site_occupancy
Be1 Be 0.000 0.000 0.000 1
Te1 Te 0.333 0.667 0.500 1
Pt1 Pt 0.667 0.333 0.000 1
```